A plane-wave DFT calculation with PBE-GGA was carried out for an optimized crystal structure of Tb6BSe12.

electronic total energy = -5.266 eV per atom
theoretical density = 6.45 g/cm3
energy relative to the elements, uncorrected = -1252 meV per atom

```
data_Tb6BSe12
_cell_length_a 12.1275
_cell_length_b 12.1275
_cell_length_c 11.5875
_cell_angle_alpha 90.00
_cell_angle_beta 90.00
_cell_angle_gamma 120.00
_symmetry_space_group_name_H-M 'R -3'
_symmetry_Int_Tables_number 148
_symmetry_space_group_name_Hall '-R 3'
loop_
_atom_site_label
_atom_site_fract_x
_atom_site_fract_y
_atom_site_fract_z
Tb1 0.0513 0.6099 0.3113
B1 0.0000 0.0000 0.0000
Se1 0.0387 0.8237 0.3986
Se2 0.0644 0.8731 0.8888
```

A plane-wave DFT calculation with PBE-GGA was carried out for an optimized crystal structure of La2Mn2Co15.

electronic total energy = -7.126 eV per atom
formation energy = -32 meV per atom
theoretical density = 8.30 g/cm3

```
data_La2Mn2Co15
_cell_length_a 8.4602
_cell_length_b 8.4602
_cell_length_c 12.3181
_cell_angle_alpha 90.00
_cell_angle_beta 90.00
_cell_angle_gamma 120.00
_symmetry_space_group_name_H-M 'R -3 m'
_symmetry_Int_Tables_number 166
_symmetry_space_group_name_Hall '-R 3 2"'
loop_
_atom_site_label
_atom_site_fract_x
_atom_site_fract_y
_atom_site_fract_z
La1 0.0000 0.0000 0.1505
Mn1 0.0000 0.0000 0.3960
Co1 0.0000 0.2824 0.5000
Co2 0.0000 0.5000 0.0000
Co3 0.0042 0.5021 0.3469
```

A plane-wave DFT calculation with PBE-GGA was carried out for an optimized crystal structure of FeCu3Rh.

electronic total energy = -4.444 eV per atom
formation energy = 1176 meV per atom
E above lowest polymorph = 0 kJ/mol of formula units
theoretical density = 7.24 g/cm3

```
data_FeCu3Rh
_cell_length_a 4.312
_cell_length_b 4.312
_cell_length_c 4.312
_cell_angle_alpha 90.00
_cell_angle_beta 90.00
_cell_angle_gamma 90.00
_symmetry_space_group_name_H-M 'P m -3 m'
_symmetry_Int_Tables_number 221
_symmetry_space_group_name_Hall '-P 4 2 3'
loop_
_atom_site_label
_atom_site_fract_x
_atom_site_fract_y
_atom_site_fract_z
Fe1 0.000 0.000 0.000
Cu1 0.000 0.000 0.500
Rh1 0.500 0.500 0.500
```

A plane-wave DFT calculation with PBE-GGA was carried out for an optimized crystal structure of NdThZn4.

electronic total energy = -3.151 eV per atom
formation energy = -271 meV per atom
E above lowest polymorph = 0 kJ/mol of formula units
theoretical density = 8.67 g/cm3

```
data_NdThZn4
_cell_length_a 7.878
_cell_length_b 7.878
_cell_length_c 7.878
_cell_angle_alpha 90.00
_cell_angle_beta 90.00
_cell_angle_gamma 90.00
_symmetry_space_group_name_H-M 'F -4 3 m'
_symmetry_Int_Tables_number 216
_symmetry_space_group_name_Hall 'F -4 2 3'
loop_
_atom_site_label
_atom_site_fract_x
_atom_site_fract_y
_atom_site_fract_z
Nd1 0.000 0.000 0.000
Th1 0.250 0.250 0.250
Zn1 0.126 0.126 0.626
```

Values of volume, in order: 492 255 80 122, all in Å³/f.u..